## Zn2POs (PBE-GGA)

Data for Zn2POs after structural relaxation.

Cell lengths 4.420, 4.420, 4.659 Å; angles 98.58, 98.58, 39.90 degrees
Element x y z (fractional)
Zn 0.000 0.000 0.000
Zn 0.248 0.248 0.784
P 0.472 0.472 0.446
Os 0.752 0.752 0.296

Calculated values
Crystal system: monoclinic
Calculated volume, Å³/cell: 57.6
Energy of formation, eV per atom: 0.094
Total moment, Bohr magnetons per cell: 0.00

## Zn2POs (PBE-GGA)

Data for Zn2POs after structural relaxation.

Cell lengths 8.188, 8.188, 8.188 Å; angles 20.90, 20.90, 20.90 degrees
Element x y z (fractional)
Zn 0.000 0.000 0.000
Zn 0.245 0.245 0.245
P 0.758 0.758 0.758
Os 0.489 0.489 0.489

Calculated values
Crystal system: trigonal
Calculated volume, Å³/cell: 61.1
Energy of formation, eV per atom: 0.033
Total moment, Bohr magnetons per cell: 0.00

## ZnPOs2 (PBE-GGA)

Data for ZnPOs2 after structural relaxation.

Cell lengths 5.570, 5.570, 5.570 Å; angles 149.77, 139.21, 51.61 degrees
Element x y z (fractional)
Zn 0.000 0.000 0.000
P 0.241 0.741 0.500
Os 0.422 0.422 0.000
Os 0.683 0.183 0.500

Calculated values
Crystal system: orthorhombic
Polymorph energy (0 for the lowest one), meV/atom: 120.2
Calculated volume, Å³/cell: 56.6
Energy of formation, eV per atom: 0.200
Total moment, Bohr magnetons per cell: 0.00